Version P
A relaxed Pa2CrSi crystal. Source: the Alexandria database, functional GGA-PBE.

Calculated density   11.83 Mg/m³

Cell lengths 4.2286, 4.2286, 4.2551 Å; angles 90.00, 90.00, 90.00 degrees
Last column: nearest neighbours and their distance in Å.
Sites, in units of the cell vectors:
Pa (0.0000, 0.5000, 0.0000)  4 Pa 2.99, 4 Cr 3.00, 4 Si 3.00
Pa (0.5000, 0.0000, 0.0000)  4 Pa 2.99, 4 Cr 3.00, 4 Si 3.00
Cr (0.0000, 0.0000, 0.5000)  4 Si 2.99, 8 Pa 3.00
Si (0.5000, 0.5000, 0.5000)  4 Cr 2.99, 8 Pa 3.00

Version Q
A relaxed Pa2CrSi crystal. Source: the Alexandria database, functional GGA-PBE.

Calculated density   11.37 Mg/m³

Cell lengths 9.8087, 9.8087, 9.8087 Å; angles 18.05, 18.05, 18.05 degrees
Last column: nearest neighbours and their distance in Å.
Sites, in units of the cell vectors:
Pa (0.0810, 0.0810, 0.0810)  1 Cr 2.34
Pa (0.9190, 0.9190, 0.9190)  1 Cr 2.34
Cr (0.0000, 0.0000, 0.0000)  2 Pa 2.34
Si (0.5000, 0.5000, 0.5000)  6 Pa 3.05, 6 Si 3.08

Which of them is most stable? Easy: version P.